[1]
{
  "formula": "ThCdBi",
  "functional": "PBE",
  "state": "relaxed",
  "lattice_angstrom": [[-1.284, -3.861, 1.026], [8.129, -2.522, 0.678], [-4.070, 3.163, 6.807]],
  "species": ["Cd", "Cd", "Cd", "Bi", "Bi", "Bi", "Th", "Th", "Th"],
  "frac_coords": [[0.000, 0.000, 0.731], [0.000, 0.731, 0.000], [0.000, 0.269, 0.269], [0.000, 0.667, 0.333], [0.000, 0.333, 0.667], [0.500, 0.000, 0.000], [0.500, 0.000, 0.383], [0.500, 0.617, 0.617], [0.500, 0.383, 0.000]],
  "e_above_lowest_polymorph_mev_per_atom": 0,
  "formation_energy_ev_per_atom": -0.184,
  "magnetic_moment_mub_per_cell": 0.000
}

[2]
{
  "formula": "ThCd2Bi4",
  "functional": "PBE",
  "state": "relaxed",
  "lattice_angstrom": [[-4.141, -2.408, 0.164], [0.428, -1.185, -6.611], [3.292, -5.525, 1.982]],
  "species": ["Bi", "Bi", "Bi", "Bi", "Th", "Cd", "Cd"],
  "frac_coords": [[0.000, 0.775, 0.775], [0.000, 0.225, 0.225], [0.500, 0.000, 0.500], [0.500, 0.500, 0.000], [0.500, 0.500, 0.500], [0.000, 0.753, 0.247], [0.000, 0.247, 0.753]],
  "formation_energy_ev_per_atom": -0.168,
  "magnetic_moment_mub_per_cell": 0.000
}

[3]
{
  "formula": "ThCd2Bi",
  "functional": "PBE",
  "state": "relaxed",
  "lattice_angstrom": [[5.043, 0.000, 0.000], [0.000, 4.653, 0.000], [0.000, 0.000, 4.653]],
  "species": ["Bi", "Th", "Cd", "Cd"],
  "frac_coords": [[0.500, 0.500, 0.500], [0.500, 0.000, 0.000], [0.000, 0.000, 0.500], [0.000, 0.500, 0.000]],
  "e_above_lowest_polymorph_mev_per_atom": 0,
  "formation_energy_ev_per_atom": -0.281,
  "magnetic_moment_mub_per_cell": 0.000
}

[4]
{
  "formula": "ThCd2Bi",
  "functional": "PBE",
  "state": "relaxed",
  "lattice_angstrom": [[3.390, 0.000, 0.000], [1.695, 2.936, 0.000], [1.695, 0.979, 12.064]],
  "species": ["Bi", "Th", "Cd", "Cd"],
  "frac_coords": [[0.500, 0.500, 0.500], [0.000, 0.000, 0.000], [0.090, 0.090, 0.731], [0.910, 0.910, 0.269]],
  "e_above_lowest_polymorph_mev_per_atom": 536,
  "formation_energy_ev_per_atom": 0.256,
  "magnetic_moment_mub_per_cell": 0.000
}

The evaluated density for the records listed, in turn: 10.4, 10.0, 10.1, 9.2 g/cm³.